CaAg2SbPd after structural relaxation. Source: Alexandria, functional GGA-PBE.

The space group is P4/mmm (No. 123) and the conventional cell measures 5.1885, 5.1885 and 5.6589 Å, with angles of 90.00, 90.00 and 90.00 degrees. The inequivalent atoms are Ca at (0.0000, 0.0000, 0.0000), Ag at (0.0000, 0.5000, 0.0000), Sb at (0.0000, 0.0000, 0.5000) and Pd at (0.5000, 0.5000, 0.5000).

The calculation puts the uncorrected formation energy at 1.003 eV/atom. The crystal system is tetragonal.

TaTcAg2 after structural relaxation. Source: Alexandria, functional GGA-PBE.

The space group is P4/mmm (No. 123) and the conventional cell measures 3.5687, 3.5687 and 5.3676 Å, with angles of 90.00, 90.00 and 90.00 degrees. The inequivalent atoms are Ta at (0.0000, 0.0000, 0.0000), Tc at (0.0000, 0.0000, 0.5000) and Ag at (0.5000, 0.5000, 0.2521).

As for the calculated formation energy: 635.4 meV per atom. The value obtained for the polymorph energy (0 for the lowest one) is 0.457 eV per atom. The crystal system is tetragonal.

CaTl2VCu after structural relaxation. Source: Alexandria, functional GGA-PBE.

The space group is P4/mmm (No. 123) and the conventional cell measures 5.8627, 5.8627 and 5.3420 Å, with angles of 90.00, 90.00 and 90.00 degrees. The inequivalent atoms are Ca at (0.0000, 0.0000, 0.0000), Tl at (0.0000, 0.5000, 0.0000), V at (0.0000, 0.0000, 0.5000) and Cu at (0.5000, 0.5000, 0.5000).

As for the calculated formation energy: 1428.4 meV per atom. The crystal system is tetragonal.